No. 1
Here is RbTaCr2 after structural relaxation from Alexandria via LeMat-Bulk. Energies are from GGA-PBE.

Properties
Uncorrected energy: -101.30 eV for the cell shown
Energy above the lowest structure with this stoichiometry: 0.0 meV per atom
Energy of formation: 1.69 eV per atom

Geometry as CIF:
```
data_RbTaCr2
_chemical_formula_sum 'Rb4 Ta4 Cr8'
_cell_length_a 6.8845
_cell_length_b 6.8845
_cell_length_c 6.8845
_cell_angle_alpha 90.00
_cell_angle_beta 90.00
_cell_angle_gamma 90.00
_space_group_name_H-M_alt 'F m -3 m'
_space_group_IT_number 225
_space_group_name_Hall '-F 4 2 3'
loop_
_atom_site_label
_atom_site_type_symbol
_atom_site_fract_x
_atom_site_fract_y
_atom_site_fract_z
_atom_site_occupancy
Rb1 Rb 0.0000 0.0000 0.0000 1
Ta1 Ta 0.0000 0.0000 0.5000 1
Cr1 Cr 0.2500 0.2500 0.2500 1
```

=====

No. 2
Here is RbTa2Cr after structural relaxation from Alexandria via LeMat-Bulk. Energies are from GGA-PBE.

Properties
Uncorrected energy: -106.01 eV for the cell shown
Energy above the lowest structure with this stoichiometry: 84.7 meV per atom
Energy of formation: 1.95 eV per atom

Geometry as CIF:
```
data_RbTa2Cr
_chemical_formula_sum 'Rb4 Ta8 Cr4'
_cell_length_a 6.2303
_cell_length_b 6.2303
_cell_length_c 13.3604
_cell_angle_alpha 90.00
_cell_angle_beta 90.00
_cell_angle_gamma 90.00
_space_group_name_H-M_alt 'I 41/a m d'
_space_group_IT_number 141
loop_
_space_group_symop_operation_xyz
'x,y,z'
'-x,-y,-z'
'-y+1/4,x+3/4,z+1/4'
'y+1/4,-x+3/4,-z+1/4'
'-x+1/2,-y,z+1/2'
'x+1/2,y,-z+1/2'
'y+1/4,-x+1/4,z+3/4'
'-y+1/4,x+1/4,-z+3/4'
'x,-y,-z'
'-x,y,z'
'-y+1/4,-x+1/4,-z+3/4'
'y+1/4,x+1/4,z+3/4'
'-x+1/2,y,-z+1/2'
'x+1/2,-y,z+1/2'
'y+1/4,x+3/4,-z+1/4'
'-y+1/4,-x+3/4,z+1/4'
'x+1/2,y+1/2,z+1/2'
'-x+1/2,-y+1/2,-z+1/2'
'-y+3/4,x+1/4,z+3/4'
'y+3/4,-x+1/4,-z+3/4'
'-x,-y+1/2,z'
'x,y+1/2,-z'
'y+3/4,-x+3/4,z+1/4'
'-y+3/4,x+3/4,-z+1/4'
'x+1/2,-y+1/2,-z+1/2'
'-x+1/2,y+1/2,z+1/2'
'-y+3/4,-x+3/4,-z+1/4'
'y+3/4,x+3/4,z+1/4'
'-x,y+1/2,-z'
'x,-y+1/2,z'
'y+3/4,x+1/4,-z+3/4'
'-y+3/4,-x+1/4,z+3/4'
loop_
_atom_site_label
_atom_site_type_symbol
_atom_site_fract_x
_atom_site_fract_y
_atom_site_fract_z
_atom_site_occupancy
Rb1 Rb 0.0000 0.2500 0.3750 1
Ta1 Ta 0.0000 0.0000 0.0000 1
Cr1 Cr 0.0000 0.2500 0.8750 1
```

=====

No. 3
Here is RbTa3Cr after structural relaxation from Alexandria via LeMat-Bulk. Energies are from GGA-PBE.

Properties
Uncorrected energy: -29.77 eV for the cell shown
Energy above the lowest structure with this stoichiometry: 1766.6 meV per atom
Energy of formation: 3.28 eV per atom

Geometry as CIF:
```
data_RbTa3Cr
_chemical_formula_sum 'Rb1 Ta3 Cr1'
_cell_length_a 4.7871
_cell_length_b 4.7871
_cell_length_c 4.7871
_cell_angle_alpha 90.00
_cell_angle_beta 90.00
_cell_angle_gamma 90.00
_space_group_name_H-M_alt 'P m -3 m'
_space_group_IT_number 221
_space_group_name_Hall '-P 4 2 3'
loop_
_atom_site_label
_atom_site_type_symbol
_atom_site_fract_x
_atom_site_fract_y
_atom_site_fract_z
_atom_site_occupancy
Rb1 Rb 0.0000 0.0000 0.0000 1
Ta1 Ta 0.0000 0.0000 0.5000 1
Cr1 Cr 0.5000 0.5000 0.5000 1
```

=====

No. 4
Here is Rb2TaCrTe after structural relaxation from Alexandria via LeMat-Bulk. Energies are from GGA-PBE.

Properties
Formation energy without anion corrections: 1.2879 eV/atom
Uncorrected energy: -20.11 eV for the cell shown

Geometry as CIF:
```
data_Rb2TaCrTe
_chemical_formula_sum 'Rb2 Ta1 Cr1 Te1'
_cell_length_a 7.0149
_cell_length_b 7.0149
_cell_length_c 5.2057
_cell_angle_alpha 90.00
_cell_angle_beta 90.00
_cell_angle_gamma 90.00
_space_group_name_H-M_alt 'P 4/m m m'
_space_group_IT_number 123
_space_group_name_Hall '-P 4 2'
loop_
_atom_site_label
_atom_site_type_symbol
_atom_site_fract_x
_atom_site_fract_y
_atom_site_fract_z
_atom_site_occupancy
Rb1 Rb 0.0000 0.5000 0.0000 1
Ta1 Ta 0.0000 0.0000 0.5000 1
Cr1 Cr 0.5000 0.5000 0.5000 1
Te1 Te 0.5000 0.5000 0.0000 1
```

=====

No. 5
Here is Rb3Tb3CrTe8 after structural relaxation from Alexandria via LeMat-Bulk. Energies are from GGA-PBE.

Properties
Formation energy without anion corrections: -1.0814 eV/atom
Uncorrected energy: -203.31 eV for the cell shown

Geometry as CIF:
```
data_Rb3Tb3CrTe8
_chemical_formula_sum 'Rb9 Tb9 Cr3 Te24'
_cell_length_a 8.6816
_cell_length_b 8.6816
_cell_length_c 26.7349
_cell_angle_alpha 90.00
_cell_angle_beta 90.00
_cell_angle_gamma 120.00
_space_group_name_H-M_alt 'R -3 m'
_space_group_IT_number 166
_space_group_name_Hall '-R 3 2"'
loop_
_atom_site_label
_atom_site_type_symbol
_atom_site_fract_x
_atom_site_fract_y
_atom_site_fract_z
_atom_site_occupancy
Rb1 Rb 0.0000 0.5000 0.0000 1
Tb1 Tb 0.0000 0.5000 0.5000 1
Cr1 Cr 0.0000 0.0000 0.5000 1
Te1 Te 0.0000 0.0000 0.2343 1
Te2 Te 0.0271 0.5136 0.2289 1
```

=====

No. 6
Here is RbCrTc after structural relaxation from Alexandria via LeMat-Bulk. Energies are from GGA-PBE.

Properties
Uncorrected energy: -37.91 eV for the cell shown
Energy above the lowest structure with this stoichiometry: 0.0 meV per atom
Energy of formation: 0.67 eV per atom

Geometry as CIF:
```
data_RbCrTc
_chemical_formula_sum 'Rb2 Cr2 Tc2'
_cell_length_a 3.1044
_cell_length_b 4.1724
_cell_length_c 13.0694
_cell_angle_alpha 89.60
_cell_angle_beta 84.90
_cell_angle_gamma 89.98
_space_group_name_H-M_alt 'P 1'
_space_group_IT_number 1
_space_group_name_Hall 'P 1'
loop_
_atom_site_label
_atom_site_type_symbol
_atom_site_fract_x
_atom_site_fract_y
_atom_site_fract_z
_atom_site_occupancy
Rb1 Rb 0.0000 0.0000 0.0000 1
Rb2 Rb 0.3949 0.5005 0.3513 1
Cr1 Cr 0.3187 0.0005 0.5939 1
Cr2 Cr 0.8197 0.5004 0.5995 1
Tc1 Tc 0.2937 0.4967 0.7593 1
Tc2 Tc 0.7353 0.9969 0.7525 1
```

=====

No. 7
Here is RbCr2Tc after structural relaxation from Alexandria via LeMat-Bulk. Energies are from GGA-PBE.

Properties
Uncorrected energy: -91.38 eV for the cell shown
Energy above the lowest structure with this stoichiometry: 523.2 meV per atom
Energy of formation: 1.93 eV per atom

Geometry as CIF:
```
data_RbCr2Tc
_chemical_formula_sum 'Rb4 Cr8 Tc4'
_cell_length_a 6.3831
_cell_length_b 6.3831
_cell_length_c 6.3831
_cell_angle_alpha 90.00
_cell_angle_beta 90.00
_cell_angle_gamma 90.00
_space_group_name_H-M_alt 'F m -3 m'
_space_group_IT_number 225
_space_group_name_Hall '-F 4 2 3'
loop_
_atom_site_label
_atom_site_type_symbol
_atom_site_fract_x
_atom_site_fract_y
_atom_site_fract_z
_atom_site_occupancy
Rb1 Rb 0.0000 0.0000 0.0000 1
Cr1 Cr 0.2500 0.2500 0.2500 1
Tc1 Tc 0.0000 0.0000 0.5000 1
```

=====

No. 8
Here is RbCr3Tc after structural relaxation from Alexandria via LeMat-Bulk. Energies are from GGA-PBE.

Properties
Uncorrected energy: -25.18 eV for the cell shown
Energy above the lowest structure with this stoichiometry: 1720.3 meV per atom
Energy of formation: 3.00 eV per atom

Geometry as CIF:
```
data_RbCr3Tc
_chemical_formula_sum 'Rb1 Cr3 Tc1'
_cell_length_a 4.7214
_cell_length_b 4.7214
_cell_length_c 4.7214
_cell_angle_alpha 90.00
_cell_angle_beta 90.00
_cell_angle_gamma 90.00
_space_group_name_H-M_alt 'P m -3 m'
_space_group_IT_number 221
_space_group_name_Hall '-P 4 2 3'
loop_
_atom_site_label
_atom_site_type_symbol
_atom_site_fract_x
_atom_site_fract_y
_atom_site_fract_z
_atom_site_occupancy
Rb1 Rb 0.0000 0.0000 0.0000 1
Cr1 Cr 0.0000 0.0000 0.5000 1
Tc1 Tc 0.5000 0.5000 0.5000 1
```

=====

No. 9
Here is RbCrTc after structural relaxation from Alexandria via LeMat-Bulk. Energies are from GGA-PBE.

Properties
Uncorrected energy: -17.90 eV for the cell shown
Energy above the lowest structure with this stoichiometry: 351.0 meV per atom
Energy of formation: 1.02 eV per atom

Geometry as CIF:
```
data_RbCrTc
_chemical_formula_sum 'Rb1 Cr1 Tc1'
_cell_length_a 3.1873
_cell_length_b 3.5896
_cell_length_c 6.7664
_cell_angle_alpha 78.55
_cell_angle_beta 89.79
_cell_angle_gamma 89.99
_space_group_name_H-M_alt 'P 1'
_space_group_IT_number 1
_space_group_name_Hall 'P 1'
loop_
_atom_site_label
_atom_site_type_symbol
_atom_site_fract_x
_atom_site_fract_y
_atom_site_fract_z
_atom_site_occupancy
Rb1 Rb 0.0000 0.0000 0.0000 1
Cr1 Cr 0.9810 0.0240 0.4992 1
Tc1 Tc 0.4818 0.5232 0.5010 1
```

=====

No. 10
Here is RbCr2Tc after structural relaxation from Alexandria via LeMat-Bulk. Energies are from GGA-PBE.

Properties
Uncorrected energy: -99.75 eV for the cell shown
Energy above the lowest structure with this stoichiometry: 0.0 meV per atom
Energy of formation: 1.41 eV per atom

Geometry as CIF:
```
data_RbCr2Tc
_chemical_formula_sum 'Rb4 Cr8 Tc4'
_cell_length_a 5.9211
_cell_length_b 5.9211
_cell_length_c 14.6300
_cell_angle_alpha 90.00
_cell_angle_beta 90.00
_cell_angle_gamma 90.00
_space_group_name_H-M_alt 'I 41/a m d'
_space_group_IT_number 141
loop_
_space_group_symop_operation_xyz
'x,y,z'
'-x,-y,-z'
'-y+1/4,x+3/4,z+1/4'
'y+1/4,-x+3/4,-z+1/4'
'-x+1/2,-y,z+1/2'
'x+1/2,y,-z+1/2'
'y+1/4,-x+1/4,z+3/4'
'-y+1/4,x+1/4,-z+3/4'
'x,-y,-z'
'-x,y,z'
'-y+1/4,-x+1/4,-z+3/4'
'y+1/4,x+1/4,z+3/4'
'-x+1/2,y,-z+1/2'
'x+1/2,-y,z+1/2'
'y+1/4,x+3/4,-z+1/4'
'-y+1/4,-x+3/4,z+1/4'
'x+1/2,y+1/2,z+1/2'
'-x+1/2,-y+1/2,-z+1/2'
'-y+3/4,x+1/4,z+3/4'
'y+3/4,-x+1/4,-z+3/4'
'-x,-y+1/2,z'
'x,y+1/2,-z'
'y+3/4,-x+3/4,z+1/4'
'-y+3/4,x+3/4,-z+1/4'
'x+1/2,-y+1/2,-z+1/2'
'-x+1/2,y+1/2,z+1/2'
'-y+3/4,-x+3/4,-z+1/4'
'y+3/4,x+3/4,z+1/4'
'-x,y+1/2,-z'
'x,-y+1/2,z'
'y+3/4,x+1/4,-z+3/4'
'-y+3/4,-x+1/4,z+3/4'
loop_
_atom_site_label
_atom_site_type_symbol
_atom_site_fract_x
_atom_site_fract_y
_atom_site_fract_z
_atom_site_occupancy
Rb1 Rb 0.0000 0.2500 0.3750 1
Cr1 Cr 0.0000 0.0000 0.0000 1
Tc1 Tc 0.0000 0.2500 0.8750 1
```

=====

No. 11
Here is RbCr3Tc after structural relaxation from Alexandria via LeMat-Bulk. Energies are from GGA-PBE.

Properties
Uncorrected energy: -33.78 eV for the cell shown
Energy above the lowest structure with this stoichiometry: 0.0 meV per atom
Energy of formation: 1.28 eV per atom

Geometry as CIF:
```
data_RbCr3Tc
_chemical_formula_sum 'Rb1 Cr3 Tc1'
_cell_length_a 4.9432
_cell_length_b 4.9432
_cell_length_c 4.9432
_cell_angle_alpha 90.00
_cell_angle_beta 90.00
_cell_angle_gamma 90.00
_space_group_name_H-M_alt 'P m -3 m'
_space_group_IT_number 221
_space_group_name_Hall '-P 4 2 3'
loop_
_atom_site_label
_atom_site_type_symbol
_atom_site_fract_x
_atom_site_fract_y
_atom_site_fract_z
_atom_site_occupancy
Rb1 Rb 0.0000 0.0000 0.0000 1
Cr1 Cr 0.0000 0.5000 0.5000 1
Tc1 Tc 0.5000 0.5000 0.5000 1
```

=====

No. 12
Here is RbCrTc2 after structural relaxation from Alexandria via LeMat-Bulk. Energies are from GGA-PBE.

Properties
Uncorrected energy: -98.31 eV for the cell shown
Energy above the lowest structure with this stoichiometry: 0.0 meV per atom
Energy of formation: 1.69 eV per atom

Geometry as CIF:
```
data_RbCrTc2
_chemical_formula_sum 'Rb4 Cr4 Tc8'
_cell_length_a 5.0984
_cell_length_b 5.0984
_cell_length_c 15.6805
_cell_angle_alpha 90.00
_cell_angle_beta 90.00
_cell_angle_gamma 90.00
_space_group_name_H-M_alt 'I 41/a m d'
_space_group_IT_number 141
loop_
_space_group_symop_operation_xyz
'x,y,z'
'-x,-y,-z'
'-y+1/4,x+3/4,z+1/4'
'y+1/4,-x+3/4,-z+1/4'
'-x+1/2,-y,z+1/2'
'x+1/2,y,-z+1/2'
'y+1/4,-x+1/4,z+3/4'
'-y+1/4,x+1/4,-z+3/4'
'x,-y,-z'
'-x,y,z'
'-y+1/4,-x+1/4,-z+3/4'
'y+1/4,x+1/4,z+3/4'
'-x+1/2,y,-z+1/2'
'x+1/2,-y,z+1/2'
'y+1/4,x+3/4,-z+1/4'
'-y+1/4,-x+3/4,z+1/4'
'x+1/2,y+1/2,z+1/2'
'-x+1/2,-y+1/2,-z+1/2'
'-y+3/4,x+1/4,z+3/4'
'y+3/4,-x+1/4,-z+3/4'
'-x,-y+1/2,z'
'x,y+1/2,-z'
'y+3/4,-x+3/4,z+1/4'
'-y+3/4,x+3/4,-z+1/4'
'x+1/2,-y+1/2,-z+1/2'
'-x+1/2,y+1/2,z+1/2'
'-y+3/4,-x+3/4,-z+1/4'
'y+3/4,x+3/4,z+1/4'
'-x,y+1/2,-z'
'x,-y+1/2,z'
'y+3/4,x+1/4,-z+3/4'
'-y+3/4,-x+1/4,z+3/4'
loop_
_atom_site_label
_atom_site_type_symbol
_atom_site_fract_x
_atom_site_fract_y
_atom_site_fract_z
_atom_site_occupancy
Rb1 Rb 0.0000 0.2500 0.3750 1
Cr1 Cr 0.0000 0.2500 0.8750 1
Tc1 Tc 0.0000 0.0000 0.0000 1
```

=====

No. 13
Here is RbCrTc2 after structural relaxation from Alexandria via LeMat-Bulk. Energies are from GGA-PBE.

Properties
Uncorrected energy: -96.07 eV for the cell shown
Energy above the lowest structure with this stoichiometry: 140.0 meV per atom
Energy of formation: 1.83 eV per atom

Geometry as CIF:
```
data_RbCrTc2
_chemical_formula_sum 'Rb4 Cr4 Tc8'
_cell_length_a 6.4124
_cell_length_b 6.4124
_cell_length_c 6.4124
_cell_angle_alpha 90.00
_cell_angle_beta 90.00
_cell_angle_gamma 90.00
_space_group_name_H-M_alt 'F m -3 m'
_space_group_IT_number 225
_space_group_name_Hall '-F 4 2 3'
loop_
_atom_site_label
_atom_site_type_symbol
_atom_site_fract_x
_atom_site_fract_y
_atom_site_fract_z
_atom_site_occupancy
Rb1 Rb 0.0000 0.0000 0.0000 1
Cr1 Cr 0.0000 0.0000 0.5000 1
Tc1 Tc 0.2500 0.2500 0.2500 1
```

=====

No. 14
Here is RbCrTc after structural relaxation from Alexandria via LeMat-Bulk. Energies are from GGA-PBE.

Properties
Uncorrected energy: -36.06 eV for the cell shown
Energy above the lowest structure with this stoichiometry: 307.1 meV per atom
Energy of formation: 0.98 eV per atom

Geometry as CIF:
```
data_RbCrTc
_chemical_formula_sum 'Rb2 Cr2 Tc2'
_cell_length_a 3.2044
_cell_length_b 3.2044
_cell_length_c 13.7544
_cell_angle_alpha 90.00
_cell_angle_beta 90.00
_cell_angle_gamma 90.00
_space_group_name_H-M_alt 'I 4 m m'
_space_group_IT_number 107
_space_group_name_Hall 'I 4 -2'
loop_
_atom_site_label
_atom_site_type_symbol
_atom_site_fract_x
_atom_site_fract_y
_atom_site_fract_z
_atom_site_occupancy
Rb1 Rb 0.0000 0.0000 0.0000 1
Cr1 Cr 0.0000 0.0000 0.2803 1
Tc1 Tc 0.0000 0.0000 0.7126 1
```